# FeRe2O, optimized geometry, DFT GGA+U
# Crystal system   tetragonal
# Total magnetic moment   0.08 μB/cell
# Final energy   -7.76 eV per atom
data_FeRe2O
_symmetry_space_group_name_H-M 'I -4 2 d'
_symmetry_Int_Tables_number 122
_symmetry_space_group_name_Hall 'I -4 2bw'
_cell_length_a 6.351
_cell_length_b 6.351
_cell_length_c 5.092
_cell_angle_alpha 90.00
_cell_angle_beta 90.00
_cell_angle_gamma 90.00
loop_
_atom_site_label
_atom_site_type_symbol
_atom_site_fract_x
_atom_site_fract_y
_atom_site_fract_z
_atom_site_occupancy
Fe1 Fe 0.000 0.000 0.000 1
Re1 Re 0.163 0.250 0.625 1
O1 O 0.000 0.000 0.500 1